i) # MnPCl2

A relaxed MnPCl2 crystal (PBEsol, Alexandria via LeMat-Bulk).

Unit cell a=3.030 b=3.030 c=9.067 alpha=90.00 beta=90.00 gamma=102.02
Fractional coordinates of all 4 atoms:
1 Mn 0.000 0.000 0.000
2 P 0.000 0.000 0.500
3 Cl 0.500 0.500 0.172
4 Cl 0.500 0.500 0.828

Calculated values
Volume   81.41 Å³/cell

***

ii) # MnPCl2

A relaxed MnPCl2 crystal (PBEsol, Alexandria via LeMat-Bulk).

Unit cell a=4.549 b=4.549 c=4.549 alpha=60.00 beta=60.00 gamma=60.00
Fractional coordinates of all 4 atoms:
1 Mn 0.000 0.000 0.000
2 P 0.500 0.500 0.500
3 Cl 0.250 0.250 0.250
4 Cl 0.750 0.750 0.750

Calculated values
Volume   66.54 Å³/cell

***

Which structure loses on stability? ii) does.

***

i) # Mn2PCl

A relaxed Mn2PCl crystal (PBEsol, Alexandria via LeMat-Bulk).

Unit cell a=4.824 b=4.824 c=4.824 alpha=141.49 beta=105.83 gamma=86.83
Fractional coordinates of all 4 atoms:
1 Mn 0.228 0.228 0.000
2 Mn 0.772 0.772 0.000
3 P 0.000 0.500 0.500
4 Cl 0.500 0.000 0.500

Calculated values
Volume   64.87 Å³/cell

***

ii) # Mn2PCl

A relaxed Mn2PCl crystal (PBEsol, Alexandria via LeMat-Bulk).

Unit cell a=2.944 b=4.374 c=4.423 alpha=90.00 beta=90.00 gamma=90.00
Fractional coordinates of all 4 atoms:
1 Mn 0.000 0.000 0.000
2 Mn 0.000 0.500 0.500
3 P 0.500 0.000 0.500
4 Cl 0.500 0.500 0.000

Calculated values
Volume   56.97 Å³/cell

***

Which structure loses on stability? i) does.

***

i) # MnPb2Cl

A relaxed MnPb2Cl crystal (PBEsol, Alexandria via LeMat-Bulk).

Unit cell a=5.460 b=5.460 c=5.632 alpha=96.61 beta=96.61 gamma=35.66
Fractional coordinates of all 4 atoms:
1 Mn 0.000 0.000 0.000
2 Pb 0.274 0.274 0.761
3 Pb 0.726 0.726 0.239
4 Cl 0.500 0.500 0.500

Calculated values
Volume   97.17 Å³/cell

***

ii) # MnPb2Cl

A relaxed MnPb2Cl crystal (PBEsol, Alexandria via LeMat-Bulk).

Unit cell a=5.147 b=5.147 c=5.147 alpha=60.00 beta=60.00 gamma=60.00
Fractional coordinates of all 4 atoms:
1 Mn 0.000 0.000 0.000
2 Pb 0.250 0.250 0.250
3 Pb 0.500 0.500 0.500
4 Cl 0.750 0.750 0.750

Calculated values
Volume   96.41 Å³/cell

***

iii) # MnPb2Cl

A relaxed MnPb2Cl crystal (PBEsol, Alexandria via LeMat-Bulk).

Unit cell a=7.745 b=7.745 c=7.745 alpha=156.10 beta=148.16 gamma=40.21
Fractional coordinates of all 4 atoms:
1 Mn 0.000 0.000 0.000
2 Pb 0.184 0.684 0.500
3 Pb 0.816 0.316 0.500
4 Cl 0.500 0.500 0.000

Calculated values
Volume   99.12 Å³/cell

***

iv) # MnPb2Cl

A relaxed MnPb2Cl crystal (PBEsol, Alexandria via LeMat-Bulk).

Unit cell a=5.760 b=5.760 c=5.859 alpha=115.93 beta=115.93 gamma=33.16
Fractional coordinates of all 4 atoms:
1 Mn 0.000 0.000 0.000
2 Pb 0.259 0.259 0.959
3 Pb 0.421 0.421 0.569
4 Cl 0.617 0.617 0.325

Calculated values
Volume   94.61 Å³/cell

***

Which structure loses on stability? ii) does.

***

i) # MnPbCl2

A relaxed MnPbCl2 crystal (PBEsol, Alexandria via LeMat-Bulk).

Unit cell a=5.655 b=5.655 c=5.446 alpha=113.70 beta=113.70 gamma=34.70
Fractional coordinates of all 4 atoms:
1 Mn 0.000 0.000 0.000
2 Pb 0.276 0.276 0.551
3 Cl 0.438 0.438 0.254
4 Cl 0.636 0.636 0.910

Calculated values
Volume   89.93 Å³/cell

***

ii) # MnPbCl2

A relaxed MnPbCl2 crystal (PBEsol, Alexandria via LeMat-Bulk).

Unit cell a=8.488 b=8.488 c=8.488 alpha=24.62 beta=24.62 gamma=24.62
Fractional coordinates of all 4 atoms:
1 Mn 0.000 0.000 0.000
2 Pb 0.251 0.251 0.251
3 Cl 0.504 0.504 0.504
4 Cl 0.716 0.716 0.716

Calculated values
Volume   93.35 Å³/cell

***

iii) # MnPbCl2

A relaxed MnPbCl2 crystal (PBEsol, Alexandria via LeMat-Bulk).

Unit cell a=5.292 b=5.292 c=3.289 alpha=90.00 beta=90.00 gamma=105.54
Fractional coordinates of all 4 atoms:
1 Mn 0.000 0.000 0.000
2 Pb 0.500 0.500 0.000
3 Cl 0.000 0.500 0.500
4 Cl 0.500 0.000 0.500

Calculated values
Volume   88.74 Å³/cell

***

Which structure loses on stability? iii) does.